Entry 1:
Density functional theory data (GGA+U) for crystalline NaMg2NiF8 at its relaxed geometry.

abc: 4.7160 6.3479 4.7745
angles: 90.00 90.60 90.00
With the nearest neighbours (Å) after each atom.
Fractional coordinates of all 12 atoms:
Na (0.0000, 0.0000, 0.0000)  6 F 2.16-2.26
Mg (0.5000, 0.2472, 0.5000)  6 F 1.98-2.11
Mg (0.5000, 0.7528, 0.5000)  6 F 1.98-2.11
Ni (0.0000, 0.5000, 0.0000)  6 F 1.90-2.00
F (0.2049, 0.2874, 0.1942)  1 Ni 1.90, 1 Mg 2.02
F (0.2049, 0.7126, 0.1942)  1 Ni 1.90, 1 Mg 2.02
F (0.2917, 0.5000, 0.6993)  1 Ni 2.00, 2 Mg 2.11
F (0.3142, 0.0000, 0.6741)  2 Mg 1.98, 1 Na 2.16
F (0.6858, 0.0000, 0.3259)  2 Mg 1.98, 1 Na 2.16
F (0.7083, 0.5000, 0.3007)  1 Ni 2.00, 2 Mg 2.11
F (0.7951, 0.2874, 0.8058)  1 Ni 1.90, 1 Mg 2.02
F (0.7951, 0.7126, 0.8058)  1 Ni 1.90, 1 Mg 2.02

## Properties
volume	11.9	Å³/atom
ρ	3.28	g cm⁻³
VASP energy	-4.62	eV/atom
space-group type	P2/m


Entry 2:
Density functional theory data (GGA+U) for crystalline Na2MgNiF6 at its relaxed geometry.

abc: 5.4111 5.5779 9.4560
angles: 90.00 124.82 90.00
With the nearest neighbours (Å) after each atom.
Fractional coordinates of all 20 atoms:
Na (0.2367, 0.0519, 0.2501)  4 F 2.30-2.40
Na (0.2367, 0.4481, 0.7501)  4 F 2.30-2.40
Na (0.7633, 0.5519, 0.2499)  4 F 2.30-2.40
Na (0.7633, 0.9481, 0.7499)  4 F 2.30-2.40
Mg (0.5000, 0.0000, 0.0000)  6 F 2.01
Mg (0.5000, 0.5000, 0.5000)  6 F 2.01
Ni (0.0000, 0.0000, 0.5000)  6 F 2.03
Ni (0.0000, 0.5000, 0.0000)  6 F 2.03
F (0.1508, 0.2012, 0.9494)  1 Mg 2.01, 1 Ni 2.03
F (0.1508, 0.2988, 0.4494)  1 Mg 2.01, 1 Ni 2.03
F (0.2512, 0.7042, 0.9491)  1 Mg 2.01, 1 Ni 2.03
F (0.2512, 0.7958, 0.4491)  1 Mg 2.01, 1 Ni 2.03
F (0.3484, 0.0322, 0.7514)  1 Mg 2.01, 1 Ni 2.03
F (0.3484, 0.4678, 0.2514)  1 Mg 2.01, 1 Ni 2.03
F (0.6516, 0.5322, 0.7486)  1 Mg 2.01, 1 Ni 2.03
F (0.6516, 0.9678, 0.2486)  1 Mg 2.01, 1 Ni 2.03
F (0.7488, 0.2042, 0.5509)  1 Mg 2.01, 1 Ni 2.03
F (0.7488, 0.2958, 0.0509)  1 Mg 2.01, 1 Ni 2.03
F (0.8492, 0.7012, 0.5506)  1 Mg 2.01, 1 Ni 2.03
F (0.8492, 0.7988, 0.0506)  1 Mg 2.01, 1 Ni 2.03

## Properties
volume	11.7	Å³/atom
ρ	3.44	g cm⁻³
VASP energy	-4.64	eV/atom
space-group type	P2_1/c


Entry 3:
Density functional theory data (GGA+U) for crystalline NaMgNi2F6 at its relaxed geometry.

abc: 5.2283 5.3808 5.6537
angles: 66.49 88.28 61.07
With the nearest neighbours (Å) after each atom.
Fractional coordinates of all 10 atoms:
Na (0.0000, 0.0000, 0.0000)  5 F 2.20-2.38
Mg (0.5459, 0.9289, 0.5559)  6 F 1.97-2.10
Ni (0.2322, 0.5582, 0.6020)  6 F 1.98-2.07
Ni (0.7277, 0.5461, 0.1353)  4 F 2.08-2.21
F (0.2022, 0.9738, 0.3717)  1 Mg 1.97, 1 Ni 2.02
F (0.3135, 0.1204, 0.7866)  1 Ni 1.98, 1 Mg 2.00, 1 Na 2.20
F (0.4885, 0.3649, 0.3693)  1 Mg 2.02, 2 Ni 2.06-2.08
F (0.5830, 0.4980, 0.8138)  2 Ni 2.04-2.14, 1 Mg 2.10
F (0.8405, 0.7261, 0.3575)  1 Mg 2.02, 2 Ni 2.07-2.11
F (0.9290, 0.7361, 0.8141)  1 Mg 2.04, 2 Ni 2.05-2.21, 1 Na 2.23

## Properties
volume	12.5	Å³/atom
ρ	3.70	g cm⁻³
VASP energy	-4.37	eV/atom
space-group type	P1